Record 1
First-principles (PBE-GGA) data for SrTcO3 after structural relaxation, as listed in Alexandria.

abc: 11.940 7.232 7.232
angles: 99.36 131.69 48.31
Last column: magnetic moment on the atom in μB.
Atoms (fractional coordinates):
Sr (0.750, 0.155, 0.655)  0.01
Sr (0.250, 0.406, 0.906)  0.01
Sr (0.250, 0.845, 0.345)  0.01
Sr (0.750, 0.594, 0.094)  0.01
O (0.052, 0.265, 0.688)  0.03
O (0.568, 0.365, 0.195)  0.02
O (0.872, 0.130, 0.110)  0.06
O (0.432, 0.635, 0.805)  0.02
O (0.552, 0.812, 0.235)  0.04
O (0.948, 0.735, 0.312)  0.03
O (0.932, 0.695, 0.865)  0.02
O (0.372, 0.390, 0.370)  0.07
O (0.068, 0.305, 0.135)  0.02
O (0.448, 0.188, 0.765)  0.04
O (0.628, 0.610, 0.630)  0.07
O (0.128, 0.870, 0.890)  0.06
Tc (0.827, 0.545, 0.677)  0.77
Tc (0.673, 0.177, 0.045)  0.74
Tc (0.327, 0.823, 0.955)  0.74
Tc (0.173, 0.455, 0.323)  0.77

Summary:
Formation energy without anion corrections = -1826 meV per atom
M_tot = 1.000 μB per formula unit

---

Record 2
First-principles (PBE-GGA) data for SbMoHCl2 after structural relaxation, as listed in Alexandria.

abc: 4.990 3.820 4.990
angles: 90.00 90.00 90.00
Last column: magnetic moment on the atom in μB.
Atoms (fractional coordinates):
Mo (0.500, 0.500, 0.500)  3.49
Cl (0.000, 0.000, 0.500)  0.01
Cl (0.500, 0.000, 0.000)  0.03
Sb (0.000, 0.500, 0.000)  -0.14
H (0.000, 0.000, 0.000)  -0.01

Summary:
Energy = -18.39 eV per cell
M_tot = 3.916 μB per formula unit

---

Record 3
First-principles (PBE-GGA) data for Pm6MgZn after structural relaxation, as listed in Alexandria.

abc: 6.964 6.964 7.178
angles: 104.04 104.04 121.33
Last column: magnetic moment on the atom in μB.
Atoms (fractional coordinates):
Pm (0.925, 0.506, 0.750)  0.00
Pm (0.729, 0.729, 0.260)  0.13
Pm (0.271, 0.271, 0.740)  0.13
Pm (0.494, 0.075, 0.250)  0.00
Pm (0.506, 0.925, 0.750)  0.00
Pm (0.075, 0.494, 0.250)  0.00
Zn (0.500, 0.500, 0.500)  0.01
Mg (0.000, 0.000, 0.000)  0.00

Summary:
Energy = -29.99 eV per cell
M_tot = 0.509 μB per formula unit

---

Record 4
First-principles (PBE-GGA) data for KBa2Ac after structural relaxation, as listed in Alexandria.

abc: 4.317 4.317 14.674
angles: 81.54 81.54 60.00
Last column: magnetic moment on the atom in μB.
Atoms (fractional coordinates):
K (0.667, 0.667, 0.000)  0.00
Ac (0.500, 0.500, 0.500)  0.07
Ba (0.091, 0.091, 0.728)  0.03
Ba (0.243, 0.243, 0.272)  0.03

Summary:
Energy = -8.68 eV per cell
M_tot = 0.438 μB per formula unit